A plane-wave DFT calculation with PBE-GGA was carried out for an optimized crystal structure of NaSr2GeRh.

Cell lengths 5.8943, 5.8943, 4.7828 Å; angles 90.00, 90.00, 90.00 degrees
Last column: nearest neighbours and their distance in Å.
Sites, in units of the cell vectors:
Na: 0.5000 0.5000 0.5000  8 Sr 3.80, 4 Ge 4.17
Ge: 0.0000 0.0000 0.5000  2 Rh 2.39
Sr: 0.5000 0.0000 0.0000  2 Rh 2.95
Rh: 0.0000 0.0000 0.0000  2 Ge 2.39
Sr: 0.0000 0.5000 0.0000  2 Rh 2.95

## Properties
SG	P4/mmm, No. 123
magnetic moment	0.0	Bohr magnetons per cell
formation energy	-1.44	eV per formula unit
energy	-18.1	eV for the cell shown
DOS at the Fermi energy	0.698	states/eV/atom

A plane-wave DFT calculation with PBE-GGA was carried out for an optimized crystal structure of YCdRu2.

Cell lengths 5.2389, 5.2389, 5.2389 Å; angles 133.79, 133.79, 67.41 degrees
Last column: nearest neighbours and their distance in Å.
Sites, in units of the cell vectors:
Ru: 0.0000 0.0000 0.0000  4 Y 2.91, 4 Cd 3.00, 4 Ru 3.00
Cd: 0.7500 0.2500 0.5000  8 Ru 2.91-3.00, 4 Y 3.00
Y: 0.5000 0.5000 0.0000  8 Ru 2.91-3.00, 4 Cd 3.00
Ru: 0.2500 0.7500 0.5000  4 Cd 2.91, 4 Ru 3.00, 4 Y 3.00

## Properties
SG	I-4m2, No. 119
magnetic moment	1.3	Bohr magnetons per cell
formation energy	0.64	eV per formula unit
energy	-25.3	eV for the cell shown
DOS at the Fermi energy	1.340	states/eV/atom